Entry from OQMD: an optimized crystal structure of TaInCoW (GGA-PBE).

Properties
Final energy   -8.3000 eV/atom
Total magnetic moment   0.203 μB/atom
Volume   16.4 Å³/atom

a = 4.530 Å, b = 4.530 Å, c = 4.530 Å
α = 60.00°, β = 60.00°, γ = 60.00°
Positions (direct):
Ta 0.000 0.000 0.000
In 0.500 0.500 0.500
Co 0.750 0.750 0.750
W 0.250 0.250 0.250